# 1
Computed, not measured: CeHo2Tm6 after structural relaxation at the PBE level of DFT.

It has space group C2/c (No. 15), with a = 12.689 Å, b = 13.728 Å, c = 6.478 Å, α = 90.00°, β = 101.95° and γ = 90.00°. The inequivalent atoms are Ce at (0.000, 0.121, 0.250), Ho at (0.139, 0.474, 0.368), Tm at (0.032, 0.311, 0.999), Tm at (0.135, 0.084, 0.818) and Tm at (0.242, 0.299, 0.734).

The energy above the most stable polymorph in this dataset comes out at 0 meV per atom. For the formation energy from the elements, the calculation gives 111 kJ/mol of formula units.

***

# 2
Computed, not measured: Ce2HoTm7 after structural relaxation at the PBE level of DFT.

It has space group P-1 (No. 2), with a = 6.046 Å, b = 6.058 Å, c = 9.245 Å, α = 109.12°, β = 102.52° and γ = 99.66°. The inequivalent atoms are Ce at (0.097, 0.194, 0.197), Ho at (0.500, 0.000, 0.000), Tm at (0.000, 0.000, 0.500), Tm at (0.195, 0.399, 0.900), Tm at (0.300, 0.598, 0.599) and Tm at (0.397, 0.799, 0.299).

For the formation energy from the elements, the calculation gives 54 kJ/mol of formula units.

***

# 3
Computed, not measured: CeHo4Tm5 after structural relaxation at the PBE level of DFT.

It has space group I4mm (No. 107), with a = 10.418 Å, b = 10.418 Å, c = 5.765 Å, α = 90.00°, β = 90.00° and γ = 90.00°. The inequivalent atoms are Ce at (0.000, 0.000, 0.000), Ho at (0.000, 0.325, 0.742), Tm at (0.000, 0.000, 0.529) and Tm at (0.187, 0.187, 0.244).

The energy above the most stable polymorph in this dataset comes out at 11 meV per atom. For the formation energy from the elements, the calculation gives 266 kJ/mol of formula units.

***

# 4
Computed, not measured: CeHo2Tm3 after structural relaxation at the PBE level of DFT.

It has space group C2/m (No. 12), with a = 17.706 Å, b = 3.406 Å, c = 13.910 Å, α = 90.00°, β = 118.21° and γ = 90.00°. The inequivalent atoms are Ce at (0.048, 0.000, 0.113), Ho at (0.157, 0.000, 0.964), Ho at (0.179, 0.500, 0.382), Tm at (0.041, 0.500, 0.709), Tm at (0.100, 0.000, 0.528) and Tm at (0.241, 0.000, 0.792).

The energy above the most stable polymorph in this dataset comes out at 99 meV per atom. For the formation energy from the elements, the calculation gives 89 kJ/mol of formula units.

***

# 5
Computed, not measured: Ce2Ho6Tm after structural relaxation at the PBE level of DFT.

It has space group Fmmm (No. 69), with a = 4.971 Å, b = 14.879 Å, c = 14.935 Å, α = 90.00°, β = 90.00° and γ = 90.00°. The inequivalent atoms are Ce at (0.000, 0.169, 0.000), Ho at (0.000, 0.000, 0.165), Ho at (0.000, 0.166, 0.335) and Tm at (0.000, 0.000, 0.500).

For the formation energy from the elements, the calculation gives 50 kJ/mol of formula units.

***

# 6
Computed, not measured: Ce2HoTm after structural relaxation at the PBE level of DFT.

It has space group P4/mmm (No. 123), with a = 3.459 Å, b = 3.459 Å, c = 10.004 Å, α = 90.00°, β = 90.00° and γ = 90.00°. The inequivalent atoms are Ce at (0.000, 0.000, 0.249), Ho at (0.500, 0.500, 0.500) and Tm at (0.500, 0.500, 0.000).

The energy above the most stable polymorph in this dataset comes out at 20 meV per atom. For the formation energy from the elements, the calculation gives 40 kJ/mol of formula units.

***

# 7
Computed, not measured: CeHo8Tm2 after structural relaxation at the PBE level of DFT.

It has space group C2/m (No. 12), with a = 17.960 Å, b = 4.972 Å, c = 7.866 Å, α = 90.00°, β = 105.24° and γ = 90.00°. The inequivalent atoms are Ce at (0.000, 0.000, 0.000), Ho at (0.045, 0.500, 0.730), Ho at (0.091, 0.000, 0.455), Ho at (0.136, 0.500, 0.182), Ho at (0.181, 0.000, 0.908) and Tm at (0.229, 0.500, 0.637).

The energy above the most stable polymorph in this dataset comes out at 0 meV per atom. For the formation energy from the elements, the calculation gives 42 kJ/mol of formula units.

***

# 8
Computed, not measured: Ce2HoTm after structural relaxation at the PBE level of DFT.

It has space group C2/c (No. 15), with a = 8.433 Å, b = 16.879 Å, c = 3.414 Å, α = 90.00°, β = 98.27° and γ = 90.00°. The inequivalent atoms are Ce at (0.143, 0.084, 0.004), Ho at (0.250, 0.250, 0.500) and Tm at (0.000, 0.411, 0.250).

The energy above the most stable polymorph in this dataset comes out at 185 meV per atom. For the formation energy from the elements, the calculation gives 103 kJ/mol of formula units.

***

| no. | mass density (kg/m³) | M_tot (μB/f.u.) |
| --- | --- | --- |
| 1 | 8926 | 1.007 |
| 2 | 8960 | 1.889 |
| 3 | 8728 | 0.464 |
| 4 | 8778 | 0.678 |
| 5 | 8651 | 1.572 |
| 6 | 8521 | 1.478 |
| 7 | 8808 | 1.087 |
| 8 | 8482 | 0.000 |